! Rb2AcVF6, optimized geometry, DFT PBE+U; values from VASP
&SYSTEM
  ibrav = 0, nat = 20, ntyp = 4
/
ATOMIC_SPECIES
Rb 85.47 Rb.upf
Ac 227.00 Ac.upf
V 50.94 V.upf
F 19.00 F.upf
CELL_PARAMETERS angstrom
6.107 0.000 0.000
0.000 9.126 0.000
0.000 0.000 7.120
ATOMIC_POSITIONS crystal
Rb 0.250 0.026 0.187
Rb 0.250 0.474 0.187
Rb 0.750 0.526 0.813
Rb 0.750 0.974 0.813
Ac 0.250 0.250 0.694
Ac 0.750 0.750 0.306
V 0.250 0.750 0.787
V 0.750 0.250 0.213
F 0.002 0.750 0.009
F 0.019 0.250 0.407
F 0.250 0.511 0.786
F 0.250 0.989 0.786
F 0.481 0.250 0.407
F 0.498 0.750 0.009
F 0.502 0.250 0.991
F 0.519 0.750 0.593
F 0.750 0.011 0.214
F 0.750 0.489 0.214
F 0.981 0.750 0.593
F 0.998 0.250 0.991
! - Final energy: -0.3959 Ry per atom
! - Total moment: 2.79 μB/f.u.
! - Space group: No. 59